Compound: K5Te4
Source: the Alexandria database
Functional: PBE-GGA
Structure: relaxed

## Properties
**Formation energy (no corrections)**: -0.864 eV/atom
**Space-group type**: C2/m

Unit cell a=5.5062 b=6.5471 c=11.7513 alpha=91.31 beta=76.45 gamma=65.13
Positions (direct):
K1 0.1821 0.0025 0.6334
K2 0.8179 0.9975 0.3666
K3 0.8063 0.5677 0.8197
K4 0.1937 0.4323 0.1803
K5 0.0000 0.0000 0.0000
Te1 0.4851 0.1700 0.8598
Te2 0.5149 0.8300 0.1402
Te3 0.4884 0.3995 0.6237
Te4 0.5116 0.6005 0.3763

Compound: KTe
Source: the Alexandria database
Functional: PBE-GGA
Structure: relaxed

## Properties
**Formation energy (no corrections)**: -0.751 eV/atom
**Space-group type**: P4_2/mnm

Unit cell a=7.6857 b=7.6857 c=6.8024 alpha=90.00 beta=90.00 gamma=90.00
Positions (direct):
K1 0.2069 0.7931 0.0000
K2 0.7069 0.7069 0.5000
K3 0.2931 0.2931 0.5000
K4 0.7931 0.2069 0.0000
Te1 0.3702 0.3702 0.0000
Te2 0.8702 0.1298 0.5000
Te3 0.1298 0.8702 0.5000
Te4 0.6298 0.6298 0.0000

Compound: KTe
Source: the Alexandria database
Functional: PBE-GGA
Structure: relaxed

## Properties
**Formation energy (no corrections)**: 0.001 eV/atom
**Space-group type**: P-3m1

Unit cell a=3.6835 b=3.6835 c=13.9399 alpha=90.00 beta=90.00 gamma=120.00
Positions (direct):
K1 0.0000 0.0000 0.9679
K2 0.6667 0.3333 0.2821
Te1 0.0000 0.0000 0.4747
Te2 0.6667 0.3333 0.7753

Compound: KTe2
Source: the Alexandria database
Functional: PBE-GGA
Structure: relaxed

## Properties
**Formation energy (no corrections)**: -0.532 eV/atom
**Space-group type**: Cmcm

Unit cell a=10.6453 b=10.6453 c=4.9770 alpha=90.00 beta=90.00 gamma=156.07
Positions (direct):
K1 0.1171 0.8829 0.2500
K2 0.8829 0.1171 0.7500
Te1 0.4682 0.5318 0.2500
Te2 0.5318 0.4682 0.7500
Te3 0.7514 0.2486 0.2500
Te4 0.2486 0.7514 0.7500

Compound: K3Te4
Source: the Alexandria database
Functional: PBE-GGA
Structure: relaxed

## Properties
**Formation energy (no corrections)**: -0.375 eV/atom
**Space-group type**: P6/mmm

Unit cell a=7.2693 b=7.2693 c=5.8187 alpha=90.00 beta=90.00 gamma=120.00
Positions (direct):
K1 0.0000 0.5000 0.0000
K2 0.5000 0.5000 0.0000
K3 0.5000 0.0000 0.0000
Te1 0.0000 0.0000 0.2329
Te2 0.0000 0.0000 0.7671
Te3 0.6667 0.3333 0.5000
Te4 0.3333 0.6667 0.5000

Compound: KTe2
Source: the Alexandria database
Functional: PBE-GGA
Structure: relaxed

## Properties
**Formation energy (no corrections)**: -0.121 eV/atom
**Space-group type**: P-3m1

Unit cell a=3.4597 b=3.4597 c=10.0369 alpha=90.00 beta=90.00 gamma=120.00
Positions (direct):
K1 0.0000 0.0000 0.0000
Te1 0.6667 0.3333 0.7135
Te2 0.3333 0.6667 0.2865

Compound: KTe
Source: the Alexandria database
Functional: PBE-GGA
Structure: relaxed

## Properties
**Formation energy (no corrections)**: -0.465 eV/atom
**Space-group type**: I4/m

Unit cell a=15.0084 b=15.0084 c=4.0528 alpha=90.00 beta=90.00 gamma=90.00
Positions (direct):
K1 0.4397 0.7640 0.0000
K2 0.5603 0.2360 0.0000
K3 0.2360 0.4397 0.0000
K4 0.7640 0.5603 0.0000
K5 0.9397 0.2640 0.5000
K6 0.0603 0.7360 0.5000
K7 0.7360 0.9397 0.5000
K8 0.2640 0.0603 0.5000
Te1 0.3343 0.2326 0.0000
Te2 0.6657 0.7674 0.0000
Te3 0.7674 0.3343 0.0000
Te4 0.2326 0.6657 0.0000
Te5 0.8343 0.7326 0.5000
Te6 0.1657 0.2674 0.5000
Te7 0.2674 0.8343 0.5000
Te8 0.7326 0.1657 0.5000

Compound: KTe5
Source: the Alexandria database
Functional: PBE-GGA
Structure: relaxed

## Properties
**Formation energy (no corrections)**: -0.239 eV/atom
**Space-group type**: Pmmn

Unit cell a=4.3832 b=8.0632 c=13.4826 alpha=90.00 beta=90.00 gamma=90.01
Positions (direct):
K1 0.7503 0.5100 0.2500
K2 0.2497 0.4900 0.7500
Te1 0.7500 0.0162 0.2500
Te2 0.2500 0.9838 0.7500
Te3 0.2500 0.0263 0.4115
Te4 0.7500 0.9737 0.9115
Te5 0.7500 0.9737 0.5885
Te6 0.2500 0.0263 0.0885
Te7 0.2500 0.3704 0.4597
Te8 0.7500 0.6296 0.9597
Te9 0.7500 0.6296 0.5403
Te10 0.2500 0.3704 0.0403

In the order shown, the computed calculated density values come out to 3.17, 2.76, 3.38, 4.27, 3.91, 4.70, 2.43, 4.72 g/cm3.